<P>
Here is a relaxed structure of LiLaZnSe3 from OQMD via LeMat-Bulk. Energies are from GGA-PBE.

Cell lengths 12.0338, 4.1834, 11.8456 Å; angles 90.00, 90.00, 90.00 degrees
Closest atoms and distances in Å follow each position.
Space group Pnma (No. 62)
Unique sites:
Li 0.1189 0.2500 0.0098 [4 per cell]  3 Se 2.68-2.74
La 0.0295 0.2500 0.6831 [4 per cell]  6 Se 2.95-3.13
Zn 0.2409 0.2500 0.2908 [4 per cell]  4 Se 2.41-2.53
Se 0.0687 0.7500 0.8689 [4 per cell]  1 Zn 2.47, 3 Li 2.68-2.74
Se 0.0990 0.2500 0.4344 [4 per cell]  1 Zn 2.41
Se 0.2107 0.7500 0.1741 [4 per cell]  2 Zn 2.53

<Q>
Here is a relaxed structure of LiLaZnSe3 from OQMD via LeMat-Bulk. Energies are from GGA-PBE.

Cell lengths 4.1125, 12.9411, 11.4969 Å; angles 90.00, 90.00, 90.00 degrees
Closest atoms and distances in Å follow each position.
Space group Cmcm (No. 63)
Unique sites:
Li 0.0000 0.2238 0.2500 [4 per cell]  6 Se 2.96-3.18, 2 Zn 3.28
La 0.0000 0.0000 0.0000 [4 per cell]  6 Se 2.98-3.10
Zn 0.0000 0.4733 0.7500 [4 per cell]  4 Se 2.45-2.54
Se 0.0000 0.0890 0.7500 [4 per cell]  2 Zn 2.54
Se 0.0000 0.3519 0.5862 [8 per cell]  1 Zn 2.45

<R>
Here is a relaxed structure of LiLaZnSe3 from OQMD via LeMat-Bulk. Energies are from GGA-PBE.

Cell lengths 8.3082, 4.2110, 17.2573 Å; angles 90.00, 90.00, 90.00 degrees
Closest atoms and distances in Å follow each position.
Space group Pnma (No. 62)
Unique sites:
Li 0.1018 0.2500 0.2381 [4 per cell]  3 Se 2.67-2.71
La 0.2352 0.2500 0.5518 [4 per cell]  6 Se 2.95-3.11
Zn 0.1421 0.2500 0.8569 [4 per cell]  4 Se 2.38-2.58
Se 0.0017 0.2500 0.0912 [4 per cell]  2 Zn 2.58, 1 Li 2.67
Se 0.1261 0.7500 0.4427 [4 per cell]  1 Zn 2.43
Se 0.1950 0.2500 0.7214 [4 per cell]  1 Zn 2.38

<S>
Here is a relaxed structure of LiLaZnSe3 from OQMD via LeMat-Bulk. Energies are from GGA-PBE.

Cell lengths 13.8423, 4.1462, 11.5952 Å; angles 90.00, 90.00, 90.00 degrees
Closest atoms and distances in Å follow each position.
Space group Pnma (No. 62)
Unique sites:
Li 0.2115 0.2500 0.1825 [4 per cell]  5 Se 2.73-2.98
La 0.0452 0.7500 0.8438 [4 per cell]  6 Se 2.96-3.13
Zn 0.0273 0.2500 0.5955 [4 per cell]  4 Se 2.48-2.55
Se 0.0768 0.2500 0.3835 [4 per cell]  3 Zn 2.54-2.55
Se 0.1001 0.7500 0.0903 [4 per cell]  2 Li 2.80, 3 La 2.96-2.99
Se 0.1667 0.2500 0.7303 [4 per cell]  1 Zn 2.48, 2 Li 2.73

Relative energy of each structure, in meV/atom: <P> 0; <Q> 34; <R> 43; <S> 12.

<P>
Here is a relaxed structure of LaLu from OQMD via LeMat-Bulk. Energies are from GGA-PBE.

Cell lengths 3.6461, 3.6461, 5.7900 Å; angles 90.00, 90.00, 120.00 degrees
Closest atoms and distances in Å follow each position.
Space group P-6m2 (No. 187)
Unique sites:
La 0.0000 0.0000 0.0000 [1 per cell]  6 Lu 3.58, 6 La 3.65
Lu 0.6667 0.3333 0.5000 [1 per cell]  6 La 3.58, 6 Lu 3.65

<Q>
Here is a relaxed structure of LaLu from OQMD via LeMat-Bulk. Energies are from GGA-PBE.

Cell lengths 7.1171, 7.1171, 7.1171 Å; angles 90.00, 90.00, 90.00 degrees
Closest atoms and distances in Å follow each position.
Space group F-43m (No. 216)
Unique sites:
La 0.0000 0.0000 0.0000 [4 per cell]  4 Lu 3.08
Lu 0.2500 0.2500 0.7500 [4 per cell]  4 La 3.08

<R>
Here is a relaxed structure of LaLu from OQMD via LeMat-Bulk. Energies are from GGA-PBE.

Cell lengths 6.5537, 6.5537, 6.5537 Å; angles 90.00, 90.00, 90.00 degrees
Closest atoms and distances in Å follow each position.
Space group Fm-3m (No. 225)
Unique sites:
La 0.0000 0.0000 0.0000 [4 per cell]  6 Lu 3.28
Lu 0.0000 0.0000 0.5000 [4 per cell]  6 La 3.28

Relative energy of each structure, in meV/atom: <P> 0; <Q> 1537; <R> 590.

<P>
Here is a relaxed structure of La2Lu from OQMD via LeMat-Bulk. Energies are from GGA-PBE.

Cell lengths 9.4487, 9.4487, 9.4487 Å; angles 90.00, 90.00, 90.00 degrees
Closest atoms and distances in Å follow each position.
Space group Fd-3m (No. 227, origin choice 2)
Unique sites:
La 0.0000 0.0000 0.0000 [16 per cell]  6 La 3.34
Lu 0.1250 0.1250 0.6250 [8 per cell]  12 La 3.92, 4 Lu 4.09

<Q>
Here is a relaxed structure of La2Lu from OQMD via LeMat-Bulk. Energies are from GGA-PBE.

Cell lengths 13.1630, 13.1630, 13.1630 Å; angles 90.00, 90.00, 90.00 degrees
Closest atoms and distances in Å follow each position.
Space group Fd-3m (No. 227, origin choice 2)
Unique sites:
La 0.0000 0.0000 0.0000 [16 per cell]  2 Lu 2.85
Lu 0.1250 0.1250 0.1250 [8 per cell]  4 La 2.85

Relative energy of each structure, in meV/atom: <P> 0; <Q> 1759.

<P>
Here is a relaxed structure of LaLuMgNi from OQMD via LeMat-Bulk. Energies are from GGA-PBE.

Cell lengths 7.2502, 7.2502, 7.2502 Å; angles 90.00, 90.00, 90.00 degrees
Closest atoms and distances in Å follow each position.
Space group F-43m (No. 216)
Unique sites:
La 0.0000 0.0000 0.0000 [4 per cell]  4 Mg 3.14, 4 Ni 3.14
Lu 0.0000 0.0000 0.5000 [4 per cell]  4 Ni 3.14, 4 Mg 3.14
Mg 0.2500 0.2500 0.7500 [4 per cell]  4 La 3.14, 4 Lu 3.14
Ni 0.2500 0.2500 0.2500 [4 per cell]  4 La 3.14, 4 Lu 3.14

<Q>
Here is a relaxed structure of LaLuMgNi from OQMD via LeMat-Bulk. Energies are from GGA-PBE.

Cell lengths 7.0892, 7.0892, 7.0892 Å; angles 90.00, 90.00, 90.00 degrees
Closest atoms and distances in Å follow each position.
Space group F-43m (No. 216)
Unique sites:
La 0.0000 0.0000 0.0000 [4 per cell]  4 Lu 3.07, 4 Ni 3.07
Lu 0.2500 0.2500 0.2500 [4 per cell]  4 La 3.07, 4 Mg 3.07
Mg 0.0000 0.0000 0.5000 [4 per cell]  4 Ni 3.07, 4 Lu 3.07
Ni 0.2500 0.2500 0.7500 [4 per cell]  4 La 3.07, 4 Mg 3.07

Relative energy of each structure, in meV/atom: <P> 0; <Q> 128.

<P>
Here is a relaxed structure of LaLuNO from OQMD via LeMat-Bulk. Energies are from GGA-PBE.

Cell lengths 3.9793, 7.1885, 4.9445 Å; angles 90.00, 90.00, 90.00 degrees
Closest atoms and distances in Å follow each position.
Space group Pmc2_1 (No. 26)
Unique sites:
La 0.0000 0.1602 0.0000 [2 per cell]  2 N 2.42, 2 O 2.50-2.51
Lu 0.5000 0.3447 0.5003 [2 per cell]  1 N 2.19, 2 O 2.19
N 0.5000 0.3512 0.9985 [2 per cell]  1 Lu 2.19, 2 La 2.42
O 0.0000 0.2166 0.5003 [2 per cell]  2 Lu 2.19

<Q>
Here is a relaxed structure of LaLuNO from OQMD via LeMat-Bulk. Energies are from GGA-PBE.

Cell lengths 4.4110, 4.4110, 8.7022 Å; angles 90.00, 90.00, 90.00 degrees
Closest atoms and distances in Å follow each position.
Space group P4/nmm (No. 129, origin choice 2)
Unique sites:
La 0.2500 0.2500 0.1150 [2 per cell]  4 O 2.42
Lu 0.2500 0.7500 0.5000 [2 per cell]  4 N 2.24
N 0.2500 0.2500 0.5417 [2 per cell]  4 Lu 2.24
O 0.2500 0.7500 0.0000 [2 per cell]  4 La 2.42

Relative energy of each structure, in meV/atom: <P> 0; <Q> 268.

<P>
Here is a relaxed structure of LaLuNO from OQMD via LeMat-Bulk. Energies are from GGA-PBE.

Cell lengths 3.9103, 6.7378, 5.7196 Å; angles 90.00, 90.00, 90.00 degrees
Closest atoms and distances in Å follow each position.
Space group Pmc2_1 (No. 26)
Unique sites:
La 0.0000 0.1548 0.0000 [2 per cell]  2 N 2.41-2.45, 2 O 2.54
Lu 0.5000 0.3267 0.5137 [2 per cell]  2 O 2.14-2.15, 2 N 2.20
N 0.0000 0.1979 0.4257 [2 per cell]  2 Lu 2.20, 2 La 2.41-2.45
O 0.5000 0.3747 0.8862 [2 per cell]  2 Lu 2.14-2.15

<Q>
Here is a relaxed structure of LaLuNO from OQMD via LeMat-Bulk. Energies are from GGA-PBE.

Cell lengths 4.6982, 4.6982, 6.1187 Å; angles 90.00, 90.00, 90.00 degrees
Closest atoms and distances in Å follow each position.
Space group P4/nmm (No. 129, origin choice 2)
Unique sites:
La 0.2500 0.7500 0.0000 [2 per cell]  4 N 2.47
Lu 0.2500 0.2500 0.4662 [2 per cell]  1 N 2.08
N 0.2500 0.2500 0.1266 [2 per cell]  1 Lu 2.08
O 0.2500 0.7500 0.5000 [2 per cell]  4 Lu 2.36

Relative energy of each structure, in meV/atom: <P> 0; <Q> 72.

<P>
Here is a relaxed structure of LaLuPO from OQMD via LeMat-Bulk. Energies are from GGA-PBE.

Cell lengths 4.1921, 4.1921, 9.0750 Å; angles 90.00, 90.00, 90.00 degrees
Closest atoms and distances in Å follow each position.
Space group P4/nmm (No. 129, origin choice 2)
Unique sites:
La 0.2500 0.7500 0.0000 [2 per cell]  4 P 2.91, 4 La 2.96
Lu 0.2500 0.2500 0.4075 [2 per cell]  4 O 2.26
P 0.2500 0.2500 0.7775 [2 per cell]  4 La 2.91
O 0.2500 0.7500 0.5000 [2 per cell]  4 Lu 2.26

<Q>
Here is a relaxed structure of LaLuPO from OQMD via LeMat-Bulk. Energies are from GGA-PBE.

Cell lengths 4.4071, 7.1827, 6.0712 Å; angles 90.00, 90.00, 90.00 degrees
Closest atoms and distances in Å follow each position.
Space group Pmc2_1 (No. 26)
Unique sites:
La 0.0000 0.2024 0.0000 [2 per cell]  2 O 2.48
Lu 0.5000 0.3814 0.5790 [2 per cell]  2 O 2.13-2.15
P 0.0000 0.1976 0.4923 [2 per cell]  2 Lu 2.62, 1 La 2.87
O 0.5000 0.3497 0.9315 [2 per cell]  2 Lu 2.13-2.15

<R>
Here is a relaxed structure of LaLuPO from OQMD via LeMat-Bulk. Energies are from GGA-PBE.

Cell lengths 4.3715, 4.3715, 8.9153 Å; angles 90.00, 90.00, 90.00 degrees
Closest atoms and distances in Å follow each position.
Space group P4/nmm (No. 129, origin choice 2)
Unique sites:
La 0.2500 0.2500 0.1187 [2 per cell]  4 O 2.43
Lu 0.2500 0.7500 0.5000 [2 per cell]  4 P 2.70
P 0.2500 0.2500 0.6776 [2 per cell]  4 Lu 2.70
O 0.2500 0.7500 0.0000 [2 per cell]  4 La 2.43

Relative energy of each structure, in meV/atom: <P> 293; <Q> 0; <R> 26.

<P>
Here is a relaxed structure of LaLuPt from OQMD via LeMat-Bulk. Energies are from GGA-PBE.

Cell lengths 6.8282, 6.8282, 6.8282 Å; angles 90.00, 90.00, 90.00 degrees
Closest atoms and distances in Å follow each position.
Space group F-43m (No. 216)
Unique sites:
La 0.0000 0.0000 0.0000 [4 per cell]  4 Pt 2.96, 4 Lu 2.96
Lu 0.2500 0.2500 0.2500 [4 per cell]  4 La 2.96
Pt 0.2500 0.2500 0.7500 [4 per cell]  4 La 2.96

<Q>
Here is a relaxed structure of LaLuPt from OQMD via LeMat-Bulk. Energies are from GGA-PBE.

Cell lengths 4.9855, 4.9855, 9.4014 Å; angles 90.00, 90.00, 120.00 degrees
Closest atoms and distances in Å follow each position.
Space group P-6m2 (No. 187)
Unique sites:
La 0.0000 0.0000 0.0000 [1 per cell]  5 Lu 2.88-3.01
La 0.6667 0.3333 0.3508 [2 per cell]  1 La 2.81, 3 Lu 2.89
Lu 0.0000 0.0000 0.3203 [2 per cell]  4 La 2.89-3.01, 3 Pt 3.22
Lu 0.6667 0.3333 0.0000 [1 per cell]  3 La 2.88
Pt 0.3333 0.6667 0.1680 [2 per cell]  2 Pt 3.12-3.16, 6 Lu 3.22-3.28, 6 La 3.28-3.35
Pt 0.3333 0.6667 0.5000 [1 per cell]  2 Pt 3.12, 6 La 3.20, 6 Lu 3.34

Relative energy of each structure, in meV/atom: <P> 253; <Q> 0.

<P>
Here is a relaxed structure of LaLuTe from OQMD via LeMat-Bulk. Energies are from GGA-PBE.

Cell lengths 7.5879, 7.5879, 7.5879 Å; angles 90.00, 90.00, 90.00 degrees
Closest atoms and distances in Å follow each position.
Space group F-43m (No. 216)
Unique sites:
La 0.0000 0.0000 0.0000 [4 per cell]  4 Lu 3.29, 4 Te 3.29
Lu 0.2500 0.2500 0.7500 [4 per cell]  4 La 3.29
Te 0.2500 0.2500 0.2500 [4 per cell]  4 La 3.29

<Q>
Here is a relaxed structure of LaLuTe from OQMD via LeMat-Bulk. Energies are from GGA-PBE.

Cell lengths 7.3545, 7.3545, 7.3545 Å; angles 90.00, 90.00, 90.00 degrees
Closest atoms and distances in Å follow each position.
Space group F-43m (No. 216)
Unique sites:
La 0.0000 0.0000 0.0000 [4 per cell]  4 Te 3.18
Lu 0.0000 0.0000 0.5000 [4 per cell]  4 Te 3.18
Te 0.2500 0.2500 0.2500 [4 per cell]  4 La 3.18, 4 Lu 3.18

Relative energy of each structure, in meV/atom: <P> 532; <Q> 0.

<P>
Here is a relaxed structure of LaMgNbOs from OQMD via LeMat-Bulk. Energies are from GGA-PBE.

Cell lengths 6.9228, 6.9228, 6.9228 Å; angles 90.00, 90.00, 90.00 degrees
Closest atoms and distances in Å follow each position.
Space group F-43m (No. 216)
Unique sites:
La 0.0000 0.0000 0.0000 [4 per cell]  4 Os 3.00, 4 Mg 3.00
Mg 0.2500 0.2500 0.2500 [4 per cell]  4 Nb 3.00, 4 La 3.00
Nb 0.0000 0.0000 0.5000 [4 per cell]  4 Os 3.00, 4 Mg 3.00
Os 0.2500 0.2500 0.7500 [4 per cell]  4 Nb 3.00, 4 La 3.00

<Q>
Here is a relaxed structure of LaMgNbOs from OQMD via LeMat-Bulk. Energies are from GGA-PBE.

Cell lengths 6.7740, 6.7740, 6.7740 Å; angles 90.00, 90.00, 90.00 degrees
Closest atoms and distances in Å follow each position.
Space group F-43m (No. 216)
Unique sites:
La 0.0000 0.0000 0.0000 [4 per cell]  4 Nb 2.93, 4 Os 2.93
Mg 0.0000 0.0000 0.5000 [4 per cell]  4 Os 2.93, 4 Nb 2.93
Nb 0.2500 0.2500 0.7500 [4 per cell]  4 Mg 2.93, 4 La 2.93
Os 0.2500 0.2500 0.2500 [4 per cell]  4 La 2.93, 4 Mg 2.93

Relative energy of each structure, in meV/atom: <P> 0; <Q> 160.